RePIN2 (PBE-GGA, optimized geometry); offset from the most stable computed form = 4.92 eV per formula unit; symmetry = P4/mmm (123); formation energy without anion corrections = 1.971 eV per atom
1.0
-1.465 1.078 3.128
-2.056 -2.977 0.063
5.029 -3.399 3.527
I Re N P
1 1 2 1
direct
0.000 0.000 0.500
0.500 0.500 0.500
0.000 0.500 0.000
0.500 0.000 0.000
0.000 0.000 0.000